VBiO4: optimized geometry, PBE+U.

calculated total energy = -164.597 eV per cell
D(E_F) = 0.00 states/eV/cell
ρ = 6.53 g/cm3
calculated volume = 329.6 Å³ per cell

a b c (Å): 5.113 12.017 5.364
angles (deg): 90.00 90.00 90.00
Space group Pbcn (No. 60)
Asymmetric unit:
V  0.000  0.105  0.250 x4
Bi  0.000  0.384  0.250 x4
O  0.151  0.194  0.045 x8
O  0.245  0.466  0.921 x8